1.
DFT (PBE-GGA) results for a geometry-optimized BaCoP2 structure.

POSCAR file:
```
BaCoP2
1.0
2.0637 2.7355 4.0544
-3.0253 4.2984 0.7426
-1.3161 -5.1274 -0.3972
P Co Ba
2 1 1
Cartesian
0.0000 0.0000 0.0000
-2.4111 1.3440 1.3719
0.1334 0.5625 3.0278
-0.4808 3.5169 2.3985
```

Computed properties:
- D(E_F): 6.715 states/eV per cell
- ΔE_f: 0.562 eV per atom

=====

2.
DFT (PBE-GGA) results for a geometry-optimized Mn2Zn structure.

POSCAR file:
```
Mn2Zn
1.0
3.6247 -6.2782 0.0000
3.6247 6.2782 0.0000
0.0000 0.0000 2.7752
Zn Mn
3 6
Cartesian
3.6247 2.0927 0.0000
3.6247 -2.0927 0.0000
0.0000 0.0000 1.3876
2.6739 0.0000 1.3876
2.2878 -3.9625 1.3876
1.0804 1.8713 0.0000
1.0804 -1.8713 0.0000
2.2878 3.9625 1.3876
5.0887 0.0000 0.0000
```

Computed properties:
- D(E_F): 8.199 states/eV per cell
- ΔE_f: 0.269 eV per atom